A geometry-optimized Tl5Hg2Pb2 structure. Source: the Alexandria database, functional PBE-GGA.

Cell and atoms, written as POSCAR:
```
Tl5Hg2Pb2
1.0
9.1832 -2.3464 0.0000
9.1832 2.3464 0.0000
-2.2171 0.0000 6.6044
Tl Hg Pb
5 2 2
direct
0.0000 0.0000 0.0000 Tl
0.1921 0.1921 0.5716 Tl
0.4178 0.4178 0.2632 Tl
0.5822 0.5822 0.7368 Tl
0.8079 0.8079 0.4284 Tl
0.3977 0.3977 0.7261 Hg
0.6023 0.6023 0.2739 Hg
0.2011 0.2011 0.0726 Pb
0.7989 0.7989 0.9274 Pb
```

Properties
**DOS(E_F)**: 4.323 states/eV/cell
**Space-group type**: No. 12
**Excess energy over the best structure of this formula in the dataset**: 0.035 eV per atom
**Formation energy from the elements**: 32 meV/atom
**Electronic total energy**: -2.174 eV per atom